Arrangement w

VASP calculation (PBE) on an optimized crystal structure of LiErBr4.

The space group is C2/c (No. 15) and the conventional cell measures 8.0701, 17.7528 and 6.9244 Å, with angles of 90.00, 125.14 and 90.00 degrees. The inequivalent atoms are Li at (0.0000, 0.0862, 0.2500), Er at (0.0000, 0.4247, 0.7500), Br at (0.2438, 0.4548, 0.2401) and Br at (0.2456, 0.1725, 0.2430).

The calculation puts the mass density at 4.0 g/cm³. The calculation puts the total magnetization at 0.000 μB/atom.


Arrangement x

VASP calculation (PBE) on an optimized crystal structure of LiErBr4.

The space group is P2/m (No. 10) and the conventional cell measures 6.9868, 4.0638 and 6.9914 Å, with angles of 90.00, 94.64 and 90.00 degrees. The inequivalent atoms are Li at (0.0000, 0.0000, 0.0000), Er at (0.5000, 0.5000, 0.0000), Br at (0.1844, 0.5000, 0.2089) and Br at (0.3250, 0.0000, 0.7675).

The calculation puts the mass density at 4.1 g/cm³. The calculation puts the total magnetization at 0.000 μB/atom.


Which one sits at the top of the stability order? arrangement x does.


Arrangement w

VASP calculation (PBE) on an optimized crystal structure of Nd2ErBr.

The space group is P4/mmm (No. 123) and the conventional cell measures 3.5891, 3.5891 and 9.6640 Å, with angles of 90.00, 90.00 and 90.00 degrees. The inequivalent atoms are Nd at (0.0000, 0.0000, 0.2357), Er at (0.5000, 0.5000, 0.5000) and Br at (0.5000, 0.5000, 0.0000).

The calculation puts the mass density at 7.1 g/cm³. The calculation puts the total magnetization at 0.000 μB/atom.


Arrangement x

VASP calculation (PBE) on an optimized crystal structure of Nd2ErBr.

The space group is R-3m (No. 166, hexagonal axes) and the conventional cell measures 3.7017, 3.7017 and 31.7352 Å, with angles of 90.00, 90.00 and 120.00 degrees. The inequivalent atoms are Nd at (0.0000, 0.0000, 0.2430), Er at (0.0000, 0.0000, 0.0000) and Br at (0.0000, 0.0000, 0.5000).

The calculation puts the mass density at 7.1 g/cm³. The calculation puts the total magnetization at 0.000 μB/atom.


Which one sits at the top of the stability order? arrangement x does.


Arrangement w

VASP calculation (PBE) on an optimized crystal structure of Er4NiBr5.

The space group is C2/m (No. 12) and the conventional cell measures 21.0413, 3.8917 and 8.3541 Å, with angles of 90.00, 90.35 and 90.00 degrees. The inequivalent atoms are Er at (0.0001, 0.0000, 0.2118), Er at (0.1225, 0.5000, 0.0017), Ni at (0.0000, 0.5000, 0.0000), Br at (0.0000, 0.5000, 0.5000), Br at (0.1526, 0.0000, 0.2424) and Br at (0.1529, 0.0000, 0.7623).

The calculation puts the mass density at 5.5 g/cm³. The calculation puts the total magnetization at 0.000 μB/atom.


Arrangement x

VASP calculation (PBE) on an optimized crystal structure of Er4NiBr5.

The space group is C2/m (No. 12) and the conventional cell measures 18.4440, 3.9004 and 8.3807 Å, with angles of 90.00, 102.37 and 90.00 degrees. The inequivalent atoms are Er at (0.0012, 0.0000, 0.2111), Er at (0.1444, 0.5000, 0.0749), Ni at (0.0000, 0.5000, 0.0000), Br at (0.0000, 0.5000, 0.5000), Br at (0.1683, 0.0000, 0.3337) and Br at (0.1791, 0.0000, 0.8410).

The calculation puts the mass density at 6.4 g/cm³. The calculation puts the total magnetization at 0.000 μB/atom.


Which one sits at the top of the stability order? arrangement x does.